(1)
Entry from Alexandria: a relaxed structure of UPdPt2Rh (GGA-PBE).

```
UPdPt2Rh
1.0
6.420 0.000 0.000
0.000 3.951 0.000
-0.289 0.000 6.688
U Pd Pt Rh
2 2 4 2
Cartesian
1.458 0.988 1.608
4.674 2.963 5.080
1.972 2.963 6.308
4.160 0.988 0.380
0.811 2.963 3.682
2.764 0.988 4.357
3.368 2.963 2.332
5.320 0.988 3.006
-0.016 0.988 5.642
6.148 2.963 1.046
```

(2)
Entry from Alexandria: a relaxed structure of UPdPtRh (GGA-PBE).

```
UPdPtRh
1.0
6.548 0.000 0.000
0.000 6.548 0.000
0.000 0.000 6.548
U Pd Pt Rh
4 4 4 4
Cartesian
0.000 0.000 0.000
0.000 3.274 3.274
3.274 0.000 3.274
3.274 3.274 0.000
1.637 1.637 4.911
1.637 4.911 1.637
4.911 1.637 1.637
4.911 4.911 4.911
0.000 0.000 3.274
0.000 3.274 0.000
3.274 0.000 0.000
3.274 3.274 3.274
1.637 1.637 1.637
1.637 4.911 4.911
4.911 1.637 4.911
4.911 4.911 1.637
```

Values from the calculation:
* ΔE to the lowest computed polymorph: 0.89 eV/f.u.

(3)
Entry from Alexandria: a relaxed structure of UPdPtRh (GGA-PBE).

```
UPdPtRh
1.0
4.007 0.000 0.000
0.000 4.038 0.000
0.000 0.000 4.255
U Pd Pt Rh
1 1 1 1
Cartesian
0.000 0.000 0.000
0.000 2.019 2.128
2.003 0.000 2.128
2.003 2.019 0.000
```

Values from the calculation:
* ΔE to the lowest computed polymorph: 0.00 eV/f.u.

(4)
Entry from Alexandria: a relaxed structure of VPd2Pt2Rh (GGA-PBE).

```
VPd2Pt2Rh
1.0
5.325 0.000 0.000
0.000 5.356 0.000
-1.174 0.000 6.476
V Pd Pt Rh
2 4 4 2
Cartesian
1.014 1.339 0.999
3.137 4.017 5.477
0.796 0.014 5.314
0.796 2.664 5.314
3.355 2.691 1.162
3.355 5.342 1.162
-0.432 1.339 3.068
1.930 4.017 3.143
2.221 1.339 3.333
4.583 4.017 3.408
0.551 4.017 0.712
3.600 1.339 5.764
```

(5)
Entry from Alexandria: a relaxed structure of PdPtRhW (GGA-PBE).

```
PdPtRhW
1.0
2.791 0.000 0.000
0.000 2.791 0.000
0.000 0.000 7.863
Pd Pt Rh W
1 1 1 1
Cartesian
0.000 0.000 0.000
1.395 1.395 2.077
1.395 1.395 5.819
0.000 0.000 4.012
```

(6)
Entry from Alexandria: a relaxed structure of YPdPtRh2 (GGA-PBE).

```
YPdPtRh2
1.0
4.779 0.000 0.000
0.000 4.779 0.000
0.000 0.000 5.186
Y Pd Pt Rh
1 1 1 2
Cartesian
0.000 0.000 0.000
2.389 2.389 0.000
0.000 0.000 2.593
0.000 2.389 2.593
2.389 0.000 2.593
```

(7)
Entry from Alexandria: a relaxed structure of Zn2PdPtRh (GGA-PBE).

```
Zn2PdPtRh
1.0
4.688 0.000 0.000
0.000 4.688 0.000
0.000 0.000 4.876
Zn Pd Pt Rh
2 1 1 1
Cartesian
0.000 2.344 0.000
2.344 0.000 0.000
0.000 0.000 2.438
2.344 2.344 0.000
2.344 2.344 2.438
```

(8)
Entry from Alexandria: a relaxed structure of ZrPd2Pt2Rh (GGA-PBE).

```
ZrPd2Pt2Rh
1.0
5.315 0.000 0.000
0.000 5.460 0.000
-0.986 0.000 6.824
Zr Pd Pt Rh
2 4 4 2
Cartesian
0.831 1.365 1.018
3.498 4.095 5.807
0.863 0.005 5.553
0.863 2.725 5.553
3.466 2.735 1.272
3.466 5.456 1.272
-0.396 4.095 3.367
2.071 1.365 3.437
2.258 4.095 3.387
4.726 1.365 3.457
0.902 4.095 0.968
3.428 1.365 5.856
```

(9)
Entry from Alexandria: a relaxed structure of Pd2RuPt (GGA-PBE).

```
Pd2RuPt
1.0
7.058 0.000 0.000
0.000 7.058 0.000
0.000 0.000 5.362
Pd Ru Pt
8 4 4
Cartesian
1.687 1.764 0.670
1.764 5.216 2.011
1.764 5.370 4.692
1.842 1.764 3.351
5.216 5.293 3.351
5.293 1.687 4.692
5.293 1.842 2.011
5.370 5.293 0.670
0.000 0.000 0.000
0.000 3.529 1.340
3.529 0.000 4.021
3.529 3.529 2.681
0.000 0.000 2.681
0.000 3.529 4.021
3.529 0.000 1.340
3.529 3.529 0.000
```

Values from the calculation:
* ΔE to the lowest computed polymorph: 2.20 eV/f.u.

(10)
Entry from Alexandria: a relaxed structure of Pd2RuPt2 (GGA-PBE).

```
Pd2RuPt2
1.0
7.635 0.000 0.000
0.000 7.635 0.000
0.000 0.000 2.807
Pd Ru Pt
4 2 4
Cartesian
0.974 2.844 0.000
2.844 6.662 0.000
4.791 0.974 0.000
6.662 4.791 0.000
0.000 0.000 0.000
3.818 3.818 0.000
1.308 5.126 1.403
2.509 1.308 1.403
5.126 6.327 1.403
6.327 2.509 1.403
```

Values from the calculation:
* ΔE to the lowest computed polymorph: 2.17 eV/f.u.

(11)
Entry from Alexandria: a relaxed structure of Pd2RuPt2 (GGA-PBE).

```
Pd2RuPt2
1.0
3.633 0.000 0.000
0.000 3.633 0.000
0.000 0.000 13.314
Pd Ru Pt
4 2 4
Cartesian
0.000 0.000 1.286
0.000 0.000 12.027
1.817 1.817 5.370
1.817 1.817 7.943
0.000 0.000 6.657
1.817 1.817 0.000
0.000 1.817 3.328
0.000 1.817 9.985
1.817 0.000 3.328
1.817 0.000 9.985
```

Values from the calculation:
* ΔE to the lowest computed polymorph: 3.02 eV/f.u.

(12)
Entry from Alexandria: a relaxed structure of Pd2RuPt2 (GGA-PBE).

```
Pd2RuPt2
1.0
2.781 0.000 0.000
-1.390 2.408 0.000
0.000 0.000 34.022
Pd Ru Pt
6 3 6
Cartesian
0.000 0.000 4.527
0.000 0.000 29.495
0.000 1.606 18.155
0.000 1.606 27.208
1.390 0.803 6.814
1.390 0.803 15.868
0.000 0.000 0.000
0.000 1.606 22.681
1.390 0.803 11.341
0.000 0.000 13.526
0.000 0.000 20.496
0.000 1.606 2.186
0.000 1.606 9.155
1.390 0.803 24.867
1.390 0.803 31.836
```

Values from the calculation:
* ΔE to the lowest computed polymorph: 0.00 eV/f.u.

no.,energy (eV/atom),energy of formation from the pure elements (eV per atom)
1,-7.7018,-0.519
2,-7.9351,-0.467
3,-8.1568,-0.689
4,-6.6033,-0.114
5,-8.0779,-0.193
6,-5.8457,0.634
7,-3.5735,0.653
8,-6.8118,-0.417
9,-5.8347,0.591
10,-5.9070,0.442
11,-5.7358,0.613
12,-6.3405,0.008